Below is a geometry-optimized LaTa2Re structure, with properties calculated at the PBE level.

Properties
The density of states at the Fermi level is 4.41 states/eV/cell. For the total energy, the calculation gives -38.9 eV/cell. Its energy relative to the elements is 0.533 eV per atom. For the offset from the most stable computed form, the calculation gives 38.3 kJ per mole of atoms.

Cell lengths 3.268, 5.095, 4.724 Å; angles 90.00, 90.00, 90.00 degrees
Element x y z (fractional)
Re: 0.000 0.500 0.500
Ta: 0.500 0.500 0.000
La: 0.500 0.000 0.500
Ta: 0.000 0.000 0.000